Entry from Alexandria: a relaxed structure of ZrCd2Pt (GGA-PBE).

## Properties
The mass density is 10.60 g cm⁻³. The calculation puts the magnetization at 0.0 μB/f.u. Its formation energy from the elements is -0.2939 eV per atom.

The structure in POSCAR format:
```
ZrCd2Pt
1.0
-1.508 2.506 5.297
1.508 -2.506 5.297
1.508 2.506 -5.297
Zr Cd Pt
1 2 1
direct
0.000 0.000 0.000
0.271 0.771 0.500
0.729 0.229 0.500
0.500 0.500 0.000
```

=====

Entry from Alexandria: a relaxed structure of CaAc3Rh (GGA-PBE).

## Properties
The mass density is 6.64 g cm⁻³. The calculation puts the magnetization at 0.0 μB/f.u. Its formation energy from the elements is -0.2971 eV per atom.

The structure in POSCAR format:
```
CaAc3Rh
1.0
5.907 0.000 0.000
0.000 5.907 0.000
0.000 0.000 5.907
Ca Ac Rh
1 3 1
direct
0.000 0.000 0.000
0.000 0.500 0.500
0.500 0.000 0.500
0.500 0.500 0.000
0.500 0.500 0.500
```

=====

Entry from Alexandria: a relaxed structure of HgP (GGA-PBE).

## Properties
The mass density is 7.36 g cm⁻³. The calculation puts the magnetization at 0.0 μB/f.u. The energy relative to the lowest polymorph listed for this composition comes out at 14.8 kJ per mole of atoms. Its formation energy from the elements is 0.1823 eV per atom.

The structure in POSCAR format:
```
HgP
1.0
2.229 1.287 6.072
-2.229 1.287 6.072
0.000 -2.574 6.072
Hg P
2 2
direct
0.087 0.087 0.087
0.913 0.913 0.913
0.439 0.439 0.439
0.561 0.561 0.561
```

=====

Entry from Alexandria: a relaxed structure of TbTm2Pd (GGA-PBE).

## Properties
The mass density is 9.14 g cm⁻³. The calculation puts the magnetization at 0.0 μB/f.u. The energy relative to the lowest polymorph listed for this composition comes out at 17.3 kJ per mole of atoms. Its formation energy from the elements is -0.3093 eV per atom.

The structure in POSCAR format:
```
TbTm2Pd
1.0
1.805 1.042 9.704
-1.805 1.042 9.704
0.000 -2.085 9.704
Tb Tm Pd
1 2 1
direct
0.000 0.000 0.000
0.233 0.233 0.233
0.767 0.767 0.767
0.500 0.500 0.500
```

=====

Entry from Alexandria: a relaxed structure of LiTlTc2 (GGA-PBE).

## Properties
The mass density is 10.56 g cm⁻³. The calculation puts the magnetization at 0.4 μB/f.u. The energy relative to the lowest polymorph listed for this composition comes out at 65.0 kJ per mole of atoms. Its formation energy from the elements is 0.8316 eV per atom.

The structure in POSCAR format:
```
LiTlTc2
1.0
0.000 3.175 3.175
3.175 0.000 3.175
3.175 3.175 0.000
Li Tl Tc
1 1 2
direct
0.000 0.000 0.000
0.500 0.500 0.500
0.250 0.250 0.250
0.750 0.750 0.750
```

=====

Entry from Alexandria: a relaxed structure of Pu3ThSe4 (GGA-PBE).

## Properties
The mass density is 10.45 g cm⁻³. The calculation puts the magnetization at 17.3 μB/f.u. The value obtained for the total energy is -76.61 eV/cell.

The structure in POSCAR format:
```
Pu3ThSe4
1.0
4.179 -5.880 0.000
4.179 5.880 0.000
0.000 0.000 4.139
Pu Th Se
3 1 4
direct
0.000 0.000 0.000
0.000 0.500 0.500
0.500 0.000 0.500
0.500 0.500 0.000
0.243 0.243 0.500
0.247 0.753 0.000
0.753 0.247 0.000
0.757 0.757 0.500
```

=====

Entry from Alexandria: a relaxed structure of Ba3YRu (GGA-PBE).

## Properties
The mass density is 4.65 g cm⁻³. The calculation puts the magnetization at 0.0 μB/f.u. The energy relative to the lowest polymorph listed for this composition comes out at 0.0 kJ per mole of atoms. Its formation energy from the elements is 0.4582 eV per atom.

The structure in POSCAR format:
```
Ba3YRu
1.0
5.992 0.000 0.000
0.000 5.992 0.000
0.000 0.000 5.992
Ba Y Ru
3 1 1
direct
0.000 0.000 0.500
0.000 0.500 0.000
0.500 0.000 0.000
0.500 0.500 0.500
0.000 0.000 0.000
```

=====

Entry from Alexandria: a relaxed structure of La2MoW (GGA-PBE).

## Properties
The mass density is 9.25 g cm⁻³. The calculation puts the magnetization at 0.0 μB/f.u. The energy relative to the lowest polymorph listed for this composition comes out at 0.0 kJ per mole of atoms. Its formation energy from the elements is 0.2915 eV per atom.

The structure in POSCAR format:
```
La2MoW
1.0
3.311 0.000 0.000
0.000 3.311 0.000
0.000 0.000 9.128
La Mo W
2 1 1
direct
0.000 0.000 0.000
0.500 0.500 0.379
0.000 0.000 0.615
0.500 0.500 0.759
```